(1)
## LiSiSe2 (SCAN)

Data for LiSiSe2 at its PBEsol-relaxed geometry.

Properties
* energy relative to the elements, uncorrected: -0.19 eV/f.u.
* space-group type: P4/mmm, No. 123

Cell and atoms, written as POSCAR:
```
LiSiSe2
1.0
3.240 0.000 0.000
0.000 3.240 0.000
0.000 0.000 6.911
Li Si Se
1 1 2
Direct
0.000 0.000 0.000
0.000 0.000 0.500
0.500 0.500 0.262
0.500 0.500 0.738
```


(2)
## In2Ge2O7 (SCAN)

Data for In2Ge2O7 at its PBEsol-relaxed geometry.

Properties
* energy above the lowest structure with this stoichiometry: 0 meV/atom
* energy relative to the elements, uncorrected: -19.94 eV/f.u.
* space-group type: Fd-3m, No. 227

Cell and atoms, written as POSCAR:
```
In2Ge2O7
1.0
0.000 4.882 4.882
4.882 0.000 4.882
4.882 4.882 0.000
In Ge O
4 4 14
Direct
0.000 0.000 0.000
0.000 0.000 0.500
0.000 0.500 0.000
0.500 0.000 0.000
0.000 0.500 0.500
0.500 0.000 0.500
0.500 0.500 0.000
0.500 0.500 0.500
0.125 0.125 0.125
0.170 0.170 0.580
0.170 0.580 0.170
0.170 0.580 0.580
0.420 0.420 0.830
0.420 0.830 0.420
0.420 0.830 0.830
0.580 0.170 0.170
0.580 0.170 0.580
0.580 0.580 0.170
0.830 0.420 0.420
0.830 0.420 0.830
0.830 0.830 0.420
0.875 0.875 0.875
```


(3)
## InSi2Sb (SCAN)

Data for InSi2Sb at its PBEsol-relaxed geometry.

Properties
* energy above the lowest structure with this stoichiometry: 40 meV/atom
* energy relative to the elements, uncorrected: 1.36 eV/f.u.
* space-group type: Amm2, No. 38

Cell and atoms, written as POSCAR:
```
InSi2Sb
1.0
3.658 0.000 0.000
0.000 2.747 4.259
0.000 -2.747 4.259
In Si Sb
1 2 1
Direct
0.000 0.000 0.000
0.000 0.446 0.446
0.500 0.259 0.259
0.500 0.696 0.696
```


(4)
## Re2RhPb (SCAN)

Data for Re2RhPb at its PBEsol-relaxed geometry.

Properties
* space-group type: Imm2, No. 44

Cell and atoms, written as POSCAR:
```
Re2RhPb
1.0
-1.963 2.119 3.866
1.963 -2.119 3.866
1.963 2.119 -3.866
Re Rh Pb
2 1 1
Direct
0.000 0.000 0.000
0.778 0.278 0.500
0.262 0.762 0.500
0.518 0.518 0.000
```


(5)
## TaBi2WF (SCAN)

Data for TaBi2WF at its PBEsol-relaxed geometry.

Properties
* energy relative to the elements, uncorrected: 4.26 eV/f.u.
* space-group type: P4/mmm, No. 123

Cell and atoms, written as POSCAR:
```
TaBi2WF
1.0
5.026 0.000 0.000
0.000 5.026 0.000
0.000 0.000 3.942
Ta Bi W F
1 2 1 1
Direct
0.000 0.000 0.000
0.000 0.500 0.500
0.500 0.000 0.500
0.500 0.500 0.000
0.000 0.000 0.500
```


(6)
## MgZrAu2 (SCAN)

Data for MgZrAu2 at its PBEsol-relaxed geometry.

Properties
* space-group type: I-4m2, No. 119

Cell and atoms, written as POSCAR:
```
MgZrAu2
1.0
-2.325 2.325 3.271
2.325 -2.325 3.271
2.325 2.325 -3.271
Mg Zr Au
1 1 2
Direct
0.000 0.000 0.000
0.750 0.250 0.500
0.250 0.750 0.500
0.500 0.500 0.000
```


| no. | DFT total energy (eV/atom) |
| --- | --- |
| 1 | -13.188 |
| 2 | -15.319 |
| 3 | -22.330 |
| 4 | -62.237 |
| 5 | -58.542 |
| 6 | -44.075 |